First-principles (PBE-GGA) data for a relaxed La2NdMg2In2 crystal, as listed in the Alexandria database.

abc: 5.0574 5.0574 27.4148
angles: 90.00 90.00 120.00
Space group R-3m (No. 166, hexagonal axes)
Unique sites:
La 0.0000 0.0000 0.1320 (multiplicity 6)
Nd 0.0000 0.0000 0.0000 (multiplicity 3)
Mg 0.0000 0.0000 0.3988 (multiplicity 6)
In 0.0000 0.0000 0.2661 (multiplicity 6)



First-principles (PBE-GGA) data for a relaxed Pm2CuPd crystal, as listed in the Alexandria database.

abc: 4.607 3.861 10.752
angles: 90.00 90.00 90.00
Space group Amm2 (No. 38)
Unique sites:
Pm 0.000 0.000 0.000 (multiplicity 2)
Pm 0.500 0.000 0.277 (multiplicity 2)
Cu 0.500 0.000 0.562 (multiplicity 2)
Pd 0.000 0.000 0.714 (multiplicity 2)



First-principles (PBE-GGA) data for a relaxed CePrRh crystal, as listed in the Alexandria database.

abc: 3.632 3.632 11.095
angles: 90.00 90.00 90.00
Space group I4mm (No. 107)
Unique sites:
Ce 0.000 0.000 0.000 (multiplicity 2)
Pr 0.000 0.000 0.702 (multiplicity 2)
Rh 0.000 0.000 0.385 (multiplicity 2)

## Properties
Excess energy over the best structure of this formula in the dataset, eV per atom: 0.050



Number 1: energy of formation -288.4 meV per atom, calculated total energy -3.62 eV per atom, D(E_F) 14.5 states/eV/cell. Number 2: energy of formation -514.3 meV per atom, calculated total energy -5.21 eV per atom, D(E_F) 6.6 states/eV/cell. Number 3: energy of formation -415.1 meV per atom, calculated total energy -6.44 eV per atom, D(E_F) 7.7 states/eV/cell.